# 1
The following is a DFT calculation (GGA-PBE) of a relaxed SrTl3Cl crystal.

Lattice parameters (Å, degrees): 5.813 5.813 5.813 90.00 90.00 90.00
Fractional coordinates of all 5 atoms:
Tl (0.500, 0.000, 0.000)
Tl (0.000, 0.000, 0.500)
Tl (0.000, 0.500, 0.000)
Sr (0.500, 0.500, 0.500)
Cl (0.000, 0.000, 0.000)

As for the crystal system: cubic. The value obtained for the total moment is 0.0 μB per cell. The uncorrected formation energy comes out at -1.29 eV per formula unit. The calculation puts the density at 6.22 Mg/m³. Its space group is No. 221.


# 2
The following is a DFT calculation (GGA-PBE) of a relaxed Al2Ni2Cl crystal.

Lattice parameters (Å, degrees): 6.960 6.960 2.924 90.00 90.00 90.00
Fractional coordinates of all 10 atoms:
Ni (0.640, 0.140, 0.000)
Ni (0.360, 0.860, 0.000)
Ni (0.140, 0.360, 0.000)
Ni (0.860, 0.640, 0.000)
Al (0.151, 0.651, 0.500)
Al (0.849, 0.349, 0.500)
Al (0.349, 0.151, 0.500)
Al (0.651, 0.849, 0.500)
Cl (0.000, 0.000, 0.000)
Cl (0.500, 0.500, 0.000)

As for the crystal system: tetragonal. The value obtained for the total moment is 0.0 μB per cell. The uncorrected formation energy comes out at -1.12 eV per formula unit. The calculation puts the density at 4.85 Mg/m³. Its space group is No. 127.


# 3
The following is a DFT calculation (GGA-PBE) of a relaxed LaPm2Ag2Hg2 crystal.

Lattice parameters (Å, degrees): 4.937 4.937 9.486 74.92 74.92 60.00
Fractional coordinates of all 7 atoms:
Ag (0.404, 0.404, 0.788)
Ag (0.596, 0.596, 0.212)
Pm (0.875, 0.875, 0.376)
Pm (0.125, 0.125, 0.624)
La (0.000, 0.000, 0.000)
Hg (0.742, 0.742, 0.773)
Hg (0.258, 0.258, 0.227)

As for the crystal system: trigonal. The formation energy is -0.28 eV per atom. The value obtained for the total moment is 0.0 μB per cell. The calculation puts the density at 9.09 Mg/m³. Its space group is No. 166.


# 4
The following is a DFT calculation (GGA-PBE) of a relaxed Fe3BAu crystal.

Lattice parameters (Å, degrees): 3.932 3.932 3.932 90.00 90.00 90.00
Last column: magnetic moment on the atom in μB.
Fractional coordinates of all 5 atoms:
Fe (0.000, 0.500, 0.000)  2.13
Fe (0.500, 0.000, 0.000)  1.97
Fe (0.000, 0.000, 0.500)  2.48
B (0.000, 0.000, 0.000)  -0.19
Au (0.500, 0.500, 0.500)  0.09

As for the crystal system: cubic. The formation energy is 0.10 eV per atom. The value obtained for the total moment is 6.4 μB per cell. The calculation puts the density at 10.25 Mg/m³. Its space group is No. 221.


# 5
The following is a DFT calculation (GGA-PBE) of a relaxed KTeIrN2 crystal.

Lattice parameters (Å, degrees): 4.036 4.036 5.761 90.00 90.00 90.00
Fractional coordinates of all 5 atoms:
K (0.500, 0.500, 0.500)
Ir (0.000, 0.000, 0.000)
Te (0.000, 0.000, 0.500)
N (0.000, 0.500, 0.000)
N (0.500, 0.000, 0.000)

As for the crystal system: tetragonal. The value obtained for the total moment is 0.0 μB per cell. The uncorrected formation energy comes out at 4.56 eV per formula unit. The calculation puts the density at 6.85 Mg/m³. Its space group is No. 123.


# 6
The following is a DFT calculation (GGA-PBE) of a relaxed Pa2P7Rh12 crystal.

Lattice parameters (Å, degrees): 3.858 9.665 9.665 120.00 90.00 90.00
Fractional coordinates of all 21 atoms:
Rh (0.249, 0.457, 0.381)
Rh (0.751, 0.076, 0.457)
Rh (0.751, 0.543, 0.619)
Rh (0.249, 0.619, 0.076)
Rh (0.249, 0.149, 0.887)
Rh (0.751, 0.851, 0.113)
Rh (0.751, 0.261, 0.149)
Rh (0.249, 0.739, 0.851)
Rh (0.751, 0.381, 0.924)
Rh (0.249, 0.924, 0.543)
Rh (0.751, 0.887, 0.739)
Rh (0.249, 0.113, 0.261)
P (0.754, 0.116, 0.715)
P (0.246, 0.400, 0.116)
P (0.246, 0.884, 0.285)
P (0.246, 0.715, 0.600)
P (0.754, 0.600, 0.884)
P (0.754, 0.285, 0.400)
P (0.500, 0.000, 0.000)
Pa (0.253, 0.333, 0.667)
Pa (0.747, 0.667, 0.333)

As for the crystal system: trigonal. The formation energy is -0.88 eV per atom. The value obtained for the total moment is 0.0 μB per cell. The calculation puts the density at 10.18 Mg/m³. Its space group is No. 147.


# 7
The following is a DFT calculation (GGA-PBE) of a relaxed Nd2Bi3Rh5 crystal.

Lattice parameters (Å, degrees): 4.474 7.555 12.977 90.00 99.93 90.00
Fractional coordinates of all 20 atoms:
Nd (0.185, 0.705, 0.371)
Nd (0.815, 0.205, 0.629)
Nd (0.510, 0.290, 0.019)
Nd (0.490, 0.790, 0.981)
Rh (0.704, 0.365, 0.407)
Rh (0.120, 0.327, 0.240)
Rh (0.391, 0.394, 0.781)
Rh (0.880, 0.827, 0.760)
Rh (0.275, 0.443, 0.550)
Rh (0.296, 0.865, 0.593)
Rh (0.052, 0.646, 0.104)
Rh (0.725, 0.943, 0.450)
Rh (0.609, 0.894, 0.219)
Rh (0.948, 0.146, 0.896)
Bi (0.391, 0.032, 0.782)
Bi (0.060, 0.019, 0.120)
Bi (0.211, 0.145, 0.422)
Bi (0.789, 0.645, 0.578)
Bi (0.609, 0.532, 0.218)
Bi (0.940, 0.519, 0.880)

As for the crystal system: orthorhombic. The formation energy is -0.36 eV per atom. The value obtained for the total moment is 0.0 μB per cell. The calculation puts the density at 10.99 Mg/m³. Its space group is No. 36.


# 8
The following is a DFT calculation (GGA-PBE) of a relaxed RbBaCd crystal.

Lattice parameters (Å, degrees): 4.543 4.543 17.055 89.97 89.97 90.16
Fractional coordinates of all 6 atoms:
Cd (0.750, 0.250, 0.000)
Cd (0.250, 0.750, 0.000)
Rb (0.251, 0.251, 0.618)
Rb (0.749, 0.749, 0.382)
Ba (0.750, 0.750, 0.838)
Ba (0.250, 0.250, 0.162)

As for the crystal system: monoclinic. The formation energy is -0.02 eV per atom. The value obtained for the total moment is 0.0 μB per cell. The calculation puts the density at 3.16 Mg/m³. Its space group is No. 12.